# 1
Density functional theory data (PBE-GGA) for an optimized crystal structure of SmTm2IO8.

Output
space-group type	Cmmm (65)
density	7.213	Mg/m³
final energy	-6.92	eV per atom
energy relative to the elements, uncorrected	-2349	meV/atom

a = 4.995 Å, b = 4.995 Å, c = 6.858 Å
α = 90.00°, β = 90.00°, γ = 90.07°
Sites, in units of the cell vectors:
Sm 0.000 0.000 0.000
Tm 0.500 0.500 0.248
Tm 0.500 0.500 0.752
I 0.000 0.000 0.500
O 0.184 0.184 0.296
O 0.184 0.184 0.704
O 0.270 0.730 0.500
O 0.316 0.684 0.000
O 0.684 0.316 0.000
O 0.730 0.270 0.500
O 0.816 0.816 0.296
O 0.816 0.816 0.704

# 2
Density functional theory data (PBE-GGA) for an optimized crystal structure of LiGaSi.

Output
space-group type	P1 (1)
density	3.584	Mg/m³
final energy	-3.47	eV per atom
energy relative to the elements, uncorrected	-19	meV/atom

a = 2.951 Å, b = 4.824 Å, c = 7.206 Å
α = 108.75°, β = 92.21°, γ = 90.15°
Sites, in units of the cell vectors:
Li 0.000 0.000 0.000
Li 0.009 0.642 0.278
Ga 0.497 0.675 0.644
Ga 0.516 0.174 0.350
Si 0.006 0.143 0.662
Si 0.491 0.475 0.937

# 3
Density functional theory data (PBE-GGA) for an optimized crystal structure of Pa.

Output
space-group type	P6_3/mmc (194)
density	15.422	Mg/m³
E above lowest polymorph	0.000	eV/atom
final energy	-9.50	eV per atom
energy of formation	0.0000	eV/atom

a = 3.180 Å, b = 3.180 Å, c = 5.680 Å
α = 90.00°, β = 90.00°, γ = 120.00°
Sites, in units of the cell vectors:
Pa 0.333 0.667 0.250
Pa 0.667 0.333 0.750

# 4
Density functional theory data (PBE-GGA) for an optimized crystal structure of Ba3BeCo.

Output
space-group type	Pm-3m (221)
density	4.097	Mg/m³
E above lowest polymorph	0.000	eV/atom
final energy	-2.69	eV per atom
energy of formation	0.6275	eV/atom

a = 5.794 Å, b = 5.794 Å, c = 5.794 Å
α = 90.00°, β = 90.00°, γ = 90.00°
Sites, in units of the cell vectors:
Ba 0.000 0.000 0.500
Ba 0.000 0.500 0.000
Ba 0.500 0.000 0.000
Be 0.500 0.500 0.500
Co 0.000 0.000 0.000

# 5
Density functional theory data (PBE-GGA) for an optimized crystal structure of Ac2VH.

Output
space-group type	R-3m (166)
density	7.616	Mg/m³
final energy	-4.55	eV per atom

a = 3.677 Å, b = 3.677 Å, c = 28.264 Å
α = 90.00°, β = 90.00°, γ = 120.00°
Sites, in units of the cell vectors:
Ac 0.000 0.000 0.108
Ac 0.000 0.000 0.892
Ac 0.333 0.667 0.558
Ac 0.333 0.667 0.775
Ac 0.667 0.333 0.225
Ac 0.667 0.333 0.442
V 0.000 0.000 0.000
V 0.333 0.667 0.667
V 0.667 0.333 0.333
H 0.000 0.000 0.500
H 0.333 0.667 0.167
H 0.667 0.333 0.833

# 6
Density functional theory data (PBE-GGA) for an optimized crystal structure of Pr7Nd2In.

Output
space-group type	Cmmm (65)
density	5.676	Mg/m³
final energy	-4.11	eV per atom
energy of formation	0.4669	eV/atom

a = 9.352 Å, b = 9.352 Å, c = 5.549 Å
α = 90.00°, β = 90.00°, γ = 123.11°
Sites, in units of the cell vectors:
Pr 0.000 0.000 0.000
Pr 0.217 0.429 0.000
Pr 0.284 0.716 0.500
Pr 0.429 0.217 0.000
Pr 0.571 0.783 0.000
Pr 0.716 0.284 0.500
Pr 0.783 0.571 0.000
Nd 0.208 0.792 0.000
Nd 0.792 0.208 0.000
In 0.500 0.500 0.500

# 7
Density functional theory data (PBE-GGA) for an optimized crystal structure of K2BaNb.

Output
space-group type	I-42d (122)
density	2.569	Mg/m³
E above lowest polymorph	0.000	eV/atom
final energy	-2.45	eV per atom
energy of formation	1.0966	eV/atom

a = 5.258 Å, b = 5.258 Å, c = 28.850 Å
α = 90.00°, β = 90.00°, γ = 90.00°
Sites, in units of the cell vectors:
K 0.225 0.250 0.125
K 0.250 0.725 0.375
K 0.250 0.775 0.875
K 0.275 0.250 0.625
K 0.725 0.750 0.625
K 0.750 0.225 0.875
K 0.750 0.275 0.375
K 0.775 0.750 0.125
Ba 0.000 0.000 0.500
Ba 0.000 0.500 0.750
Ba 0.500 0.000 0.250
Ba 0.500 0.500 0.000
Nb 0.000 0.000 0.000
Nb 0.000 0.500 0.250
Nb 0.500 0.000 0.750
Nb 0.500 0.500 0.500

# 8
Density functional theory data (PBE-GGA) for an optimized crystal structure of Mg2IrOs.

Output
space-group type	R-3m (166)
density	11.574	Mg/m³
E above lowest polymorph	0.112	eV/atom
final energy	-5.79	eV per atom
energy of formation	0.0331	eV/atom

a = 2.838 Å, b = 2.838 Å, c = 26.594 Å
α = 90.00°, β = 90.00°, γ = 120.00°
Sites, in units of the cell vectors:
Mg 0.000 0.000 0.249
Mg 0.000 0.000 0.751
Mg 0.333 0.667 0.418
Mg 0.333 0.667 0.915
Mg 0.667 0.333 0.085
Mg 0.667 0.333 0.582
Ir 0.000 0.000 0.500
Ir 0.333 0.667 0.167
Ir 0.667 0.333 0.833
Os 0.000 0.000 0.000
Os 0.333 0.667 0.667
Os 0.667 0.333 0.333

# 9
Density functional theory data (PBE-GGA) for an optimized crystal structure of YW3Au.

Output
space-group type	Pm-3m (221)
density	11.712	Mg/m³
E above lowest polymorph	0.000	eV/atom
final energy	-7.61	eV per atom
energy of formation	2.1131	eV/atom

a = 4.915 Å, b = 4.915 Å, c = 4.915 Å
α = 90.00°, β = 90.00°, γ = 90.00°
Sites, in units of the cell vectors:
Y 0.000 0.000 0.000
W 0.000 0.500 0.500
W 0.500 0.000 0.500
W 0.500 0.500 0.000
Au 0.500 0.500 0.500

# 10
Density functional theory data (PBE-GGA) for an optimized crystal structure of NdTm2Ni.

Output
space-group type	P4/mmm (123)
density	8.841	Mg/m³
E above lowest polymorph	0.000	eV/atom
final energy	-5.09	eV per atom
energy of formation	-0.2125	eV/atom

a = 3.409 Å, b = 3.409 Å, c = 8.738 Å
α = 90.00°, β = 90.00°, γ = 90.00°
Sites, in units of the cell vectors:
Nd 0.000 0.000 0.000
Tm 0.500 0.500 0.319
Tm 0.500 0.500 0.681
Ni 0.000 0.000 0.500

# 11
Density functional theory data (PBE-GGA) for an optimized crystal structure of Pr3YTl3.

Output
space-group type	P2_13 (198)
density	8.403	Mg/m³
E above lowest polymorph	0.000	eV/atom
final energy	-4.28	eV per atom
energy of formation	-0.2892	eV/atom

a = 9.616 Å, b = 9.616 Å, c = 9.616 Å
α = 90.00°, β = 90.00°, γ = 90.00°
Sites, in units of the cell vectors:
Pr 0.069 0.431 0.569
Pr 0.173 0.827 0.327
Pr 0.177 0.177 0.177
Pr 0.323 0.823 0.677
Pr 0.327 0.173 0.827
Pr 0.431 0.569 0.069
Pr 0.569 0.069 0.431
Pr 0.673 0.673 0.673
Pr 0.677 0.323 0.823
Pr 0.823 0.677 0.323
Pr 0.827 0.327 0.173
Pr 0.931 0.931 0.931
Y 0.073 0.573 0.927
Y 0.427 0.427 0.427
Y 0.573 0.927 0.073
Y 0.927 0.073 0.573
Tl 0.002 0.255 0.867
Tl 0.133 0.502 0.245
Tl 0.245 0.133 0.502
Tl 0.255 0.867 0.002
Tl 0.367 0.498 0.745
Tl 0.498 0.745 0.367
Tl 0.502 0.245 0.133
Tl 0.633 0.998 0.755
Tl 0.745 0.367 0.498
Tl 0.755 0.633 0.998
Tl 0.867 0.002 0.255
Tl 0.998 0.755 0.633

# 12
Density functional theory data (PBE-GGA) for an optimized crystal structure of BaScSe3.

Output
space-group type	Pnma (62)
density	4.999	Mg/m³
final energy	-5.33	eV per atom
energy relative to the elements, uncorrected	-1591	meV/atom

a = 8.860 Å, b = 4.173 Å, c = 15.063 Å
α = 90.00°, β = 90.00°, γ = 90.00°
Sites, in units of the cell vectors:
Ba 0.077 0.250 0.174
Ba 0.423 0.750 0.674
Ba 0.577 0.250 0.326
Ba 0.923 0.750 0.826
Sc 0.162 0.750 0.443
Sc 0.338 0.250 0.943
Sc 0.662 0.750 0.057
Sc 0.838 0.250 0.557
Se 0.023 0.750 0.603
Se 0.168 0.750 0.006
Se 0.205 0.250 0.786
Se 0.295 0.750 0.286
Se 0.332 0.250 0.506
Se 0.477 0.250 0.103
Se 0.523 0.750 0.897
Se 0.668 0.750 0.494
Se 0.705 0.250 0.714
Se 0.795 0.750 0.214
Se 0.832 0.250 0.994
Se 0.977 0.250 0.397

# 13
Density functional theory data (PBE-GGA) for an optimized crystal structure of PrPuSnPb.

Output
space-group type	F-43m (216)
density	10.092	Mg/m³
final energy	-7.04	eV per atom
energy of formation	-0.3369	eV/atom

a = 7.763 Å, b = 7.763 Å, c = 7.763 Å
α = 90.00°, β = 90.00°, γ = 90.00°
Sites, in units of the cell vectors:
Pr 0.000 0.000 0.000
Pr 0.000 0.500 0.500
Pr 0.500 0.000 0.500
Pr 0.500 0.500 0.000
Pu 0.000 0.000 0.500
Pu 0.000 0.500 0.000
Pu 0.500 0.000 0.000
Pu 0.500 0.500 0.500
Sn 0.250 0.250 0.750
Sn 0.250 0.750 0.250
Sn 0.750 0.250 0.250
Sn 0.750 0.750 0.750
Pb 0.250 0.250 0.250
Pb 0.250 0.750 0.750
Pb 0.750 0.250 0.750
Pb 0.750 0.750 0.250

# 14
Density functional theory data (PBE-GGA) for an optimized crystal structure of Pm3NdZn8.

Output
space-group type	R3m (160)
density	7.529	Mg/m³
E above lowest polymorph	0.000	eV/atom
final energy	-2.76	eV per atom
energy of formation	-0.3247	eV/atom

a = 9.607 Å, b = 9.607 Å, c = 9.607 Å
α = 33.70°, β = 33.70°, γ = 33.70°
Sites, in units of the cell vectors:
Pm 0.000 0.000 0.000
Pm 0.125 0.125 0.125
Pm 0.624 0.624 0.624
Nd 0.500 0.500 0.500
Zn 0.061 0.562 0.562
Zn 0.062 0.062 0.563
Zn 0.062 0.563 0.062
Zn 0.312 0.312 0.312
Zn 0.562 0.061 0.562
Zn 0.562 0.562 0.061
Zn 0.563 0.062 0.062
Zn 0.812 0.812 0.812

# 15
Density functional theory data (PBE-GGA) for an optimized crystal structure of K2TiWS6.

Output
space-group type	R-3m (166)
density	3.606	Mg/m³
final energy	-5.67	eV per atom
energy relative to the elements, uncorrected	-891	meV/atom

a = 11.944 Å, b = 11.944 Å, c = 11.944 Å
α = 33.51°, β = 33.51°, γ = 33.51°
Sites, in units of the cell vectors:
K 0.127 0.127 0.127
K 0.290 0.290 0.290
K 0.710 0.710 0.710
K 0.873 0.873 0.873
Ti 0.411 0.411 0.411
Ti 0.589 0.589 0.589
W 0.000 0.000 0.000
W 0.500 0.500 0.500
S 0.138 0.617 0.617
S 0.204 0.204 0.713
S 0.204 0.713 0.204
S 0.287 0.796 0.796
S 0.383 0.383 0.862
S 0.383 0.862 0.383
S 0.617 0.138 0.617
S 0.617 0.617 0.138
S 0.713 0.204 0.204
S 0.796 0.287 0.796
S 0.796 0.796 0.287
S 0.862 0.383 0.383

# 16
Density functional theory data (PBE-GGA) for an optimized crystal structure of BaLiAl.

Output
space-group type	Amm2 (38)
density	3.250	Mg/m³
E above lowest polymorph	0.027	eV/atom
final energy	-2.58	eV per atom
energy of formation	-0.0549	eV/atom

a = 4.932 Å, b = 7.837 Å, c = 7.837 Å
α = 119.96°, β = 90.00°, γ = 90.00°
Sites, in units of the cell vectors:
Ba 0.000 0.000 0.000
Ba 0.000 0.416 0.830
Ba 0.000 0.830 0.416
Li 0.000 0.414 0.414
Li 0.500 0.085 0.749
Li 0.500 0.749 0.085
Al 0.500 0.209 0.414
Al 0.500 0.414 0.209
Al 0.500 0.620 0.620

# 17
Density functional theory data (PBE-GGA) for an optimized crystal structure of Ba4CdTeI2.

Output
space-group type	P2/m (10)
density	4.721	Mg/m³
final energy	-3.01	eV per atom
energy relative to the elements, uncorrected	-1155	meV/atom

a = 8.858 Å, b = 4.902 Å, c = 8.887 Å
α = 90.00°, β = 108.02°, γ = 90.00°
Sites, in units of the cell vectors:
Ba 0.241 0.000 0.229
Ba 0.255 0.500 0.773
Ba 0.745 0.500 0.227
Ba 0.759 0.000 0.771
Cd 0.000 0.500 0.000
Te 0.500 0.000 0.000
I 0.000 0.000 0.500
I 0.500 0.500 0.500

# 18
Density functional theory data (PBE-GGA) for an optimized crystal structure of LaIn2CuO.

Output
space-group type	P4/mmm (123)
density	6.520	Mg/m³
final energy	-4.53	eV per atom
energy relative to the elements, uncorrected	-642	meV/atom

a = 4.919 Å, b = 4.919 Å, c = 4.716 Å
α = 90.00°, β = 90.00°, γ = 90.00°
Sites, in units of the cell vectors:
La 0.000 0.000 0.000
In 0.000 0.500 0.500
In 0.500 0.000 0.500
Cu 0.500 0.500 0.000
O 0.000 0.000 0.500

# 19
Density functional theory data (PBE-GGA) for an optimized crystal structure of SrTi4Ga2.

Output
space-group type	I4/mmm (139)
density	4.270	Mg/m³
final energy	-4.34	eV per atom
energy of formation	1.2780	eV/atom

a = 4.918 Å, b = 4.918 Å, c = 13.460 Å
α = 90.00°, β = 90.00°, γ = 90.00°
Sites, in units of the cell vectors:
Sr 0.000 0.000 0.000
Sr 0.500 0.500 0.500
Ti 0.000 0.000 0.215
Ti 0.000 0.000 0.785
Ti 0.000 0.500 0.000
Ti 0.000 0.500 0.500
Ti 0.500 0.000 0.000
Ti 0.500 0.000 0.500
Ti 0.500 0.500 0.285
Ti 0.500 0.500 0.715
Ga 0.000 0.000 0.403
Ga 0.000 0.000 0.597
Ga 0.500 0.500 0.097
Ga 0.500 0.500 0.903

# 20
Density functional theory data (PBE-GGA) for an optimized crystal structure of Nd8HgPt2.

Output
space-group type	Cm (8)
density	8.521	Mg/m³
final energy	-5.01	eV per atom
energy of formation	-0.4178	eV/atom

a = 8.218 Å, b = 8.218 Å, c = 5.775 Å
α = 98.27°, β = 98.27°, γ = 115.18°
Sites, in units of the cell vectors:
Nd 0.000 0.000 0.000
Nd 0.057 0.305 0.612
Nd 0.146 0.630 0.189
Nd 0.305 0.057 0.612
Nd 0.471 0.720 0.766
Nd 0.630 0.146 0.189
Nd 0.720 0.471 0.766
Nd 0.776 0.776 0.378
Hg 0.388 0.388 0.188
Pt 0.088 0.688 0.689
Pt 0.688 0.088 0.689

# 21
Density functional theory data (PBE-GGA) for an optimized crystal structure of CaCoTcP2.

Output
space-group type	I-4m2 (119)
density	5.422	Mg/m³
final energy	-6.89	eV per atom
energy of formation	-0.8284	eV/atom

a = 3.955 Å, b = 3.955 Å, c = 10.142 Å
α = 90.00°, β = 90.00°, γ = 90.00°
Sites, in units of the cell vectors:
Ca 0.000 0.000 0.000
Ca 0.500 0.500 0.500
Co 0.000 0.500 0.250
Co 0.500 0.000 0.750
Tc 0.000 0.500 0.750
Tc 0.500 0.000 0.250
P 0.000 0.000 0.365
P 0.000 0.000 0.635
P 0.500 0.500 0.135
P 0.500 0.500 0.865

# 22
Density functional theory data (PBE-GGA) for an optimized crystal structure of SiNiAu2.

Output
space-group type	P2/m (10)
density	12.587	Mg/m³
final energy	-4.31	eV per atom
energy relative to the elements, uncorrected	134	meV/atom

a = 3.022 Å, b = 4.182 Å, c = 5.098 Å
α = 90.00°, β = 100.14°, γ = 90.00°
Sites, in units of the cell vectors:
Si 0.000 0.000 0.000
Ni 0.000 0.000 0.500
Au 0.323 0.500 0.243
Au 0.677 0.500 0.757

# 23
Density functional theory data (PBE-GGA) for an optimized crystal structure of NdCd5In4.

Output
space-group type	Immm (71)
density	7.259	Mg/m³
final energy	-2.06	eV per atom
energy of formation	-0.0317	eV/atom

a = 7.698 Å, b = 7.698 Å, c = 7.698 Å
α = 141.78°, β = 96.42°, γ = 95.88°
Sites, in units of the cell vectors:
Nd 0.000 0.000 0.000
Cd 0.096 0.821 0.275
Cd 0.454 0.179 0.275
Cd 0.500 0.000 0.500
Cd 0.546 0.821 0.725
Cd 0.904 0.179 0.725
In 0.214 0.500 0.714
In 0.331 0.331 0.000
In 0.669 0.669 0.000
In 0.786 0.500 0.286